Below is crystalline Li6Mg6Cd at its relaxed geometry, with properties calculated at the GGA-PBE level.

```
Li6Mg6Cd
1.0
5.546 0.000 0.000
-2.773 4.803 0.000
0.000 0.000 10.087
Li Mg Cd
6 6 1
Cartesian
-1.387 2.402 2.452 Li
-1.387 2.402 7.636 Li
2.773 0.000 2.452 Li
2.773 0.000 7.636 Li
1.387 2.402 2.452 Li
1.387 2.402 7.636 Li
0.000 0.000 3.551 Mg
0.000 0.000 6.536 Mg
0.000 3.202 0.000 Mg
0.000 3.202 5.044 Mg
2.773 1.601 0.000 Mg
2.773 1.601 5.044 Mg
0.000 0.000 0.000 Cd
```

Calculated values
SG ... No. 191
VASP energy ... -1.683 eV per atom

Below is crystalline PmThRh at its relaxed geometry, with properties calculated at the GGA-PBE level.

```
PmThRh
1.0
7.109 0.000 0.000
0.000 6.100 0.000
-6.273 0.000 7.975
Pm Th Rh
4 4 4
Cartesian
-0.958 0.794 3.049 Pm
-4.094 2.256 7.036 Pm
4.931 3.844 0.938 Pm
1.795 5.306 4.926 Pm
-1.604 3.874 4.983 Th
1.532 5.276 0.996 Th
-0.696 0.824 6.979 Th
2.441 2.226 2.992 Th
0.075 3.816 2.755 Rh
-3.061 5.334 6.742 Rh
3.898 0.766 1.233 Rh
0.761 2.284 5.220 Rh
```

Calculated values
SG ... No. 14
VASP energy ... -6.964 eV per atom

Below is crystalline ErMgScS4 at its relaxed geometry, with properties calculated at the GGA-PBE level.

```
ErMgScS4
1.0
-3.826 3.882 5.450
3.826 -3.882 5.450
3.826 3.882 -5.450
Er Mg Sc S
2 2 2 8
Cartesian
0.000 0.000 0.000 Er
0.000 3.882 0.000 Er
3.826 1.941 1.369 Mg
0.000 1.941 4.081 Mg
1.913 1.941 -2.725 Sc
1.913 -1.941 2.725 Sc
3.826 3.732 -2.744 S
3.826 -0.150 2.744 S
1.864 1.941 -0.127 S
1.962 -1.941 5.323 S
1.864 5.823 0.127 S
1.962 1.941 5.577 S
0.000 4.032 2.706 S
0.000 0.150 8.195 S
```

Calculated values
SG ... No. 74
Energy relative to the elements, uncorrected ... -1.84 eV/atom

Below is crystalline SbTe2PtSe at its relaxed geometry, with properties calculated at the GGA-PBE level.

```
SbTe2PtSe
1.0
5.312 0.000 0.000
0.000 5.312 0.000
0.000 0.000 5.378
Sb Te Pt Se
1 2 1 1
Cartesian
0.000 0.000 0.000 Sb
0.000 2.656 2.689 Te
2.656 0.000 2.689 Te
2.656 2.656 0.000 Pt
0.000 0.000 2.689 Se
```

Calculated values
SG ... No. 123
Energy relative to the elements, uncorrected ... 1.03 eV/atom

Below is crystalline Pm2PrSi2Pt7 at its relaxed geometry, with properties calculated at the GGA-PBE level.

```
Pm2PrSi2Pt7
1.0
2.937 -2.899 0.000
2.937 2.899 0.000
-1.957 0.000 13.782
Pm Pr Si Pt
2 1 2 7
Cartesian
-0.067 0.000 4.934 Pm
3.983 0.000 8.849 Pm
0.000 0.000 0.000 Pr
0.960 0.000 10.255 Si
2.957 0.000 3.527 Si
1.482 1.445 2.283 Pt
1.103 0.000 7.915 Pt
2.434 1.445 11.499 Pt
2.937 0.000 0.000 Pt
1.482 -1.445 2.283 Pt
2.814 0.000 5.867 Pt
2.434 -1.445 11.499 Pt
```

Calculated values
SG ... No. 12
Energy relative to the elements, uncorrected ... -1.04 eV/atom

Below is crystalline BeHOs2Ru at its relaxed geometry, with properties calculated at the GGA-PBE level.

```
BeHOs2Ru
1.0
4.751 0.000 0.000
0.000 4.751 0.000
0.000 0.000 3.049
Be H Os Ru
1 1 2 1
Cartesian
0.000 0.000 0.000 Be
2.376 2.376 0.000 H
0.000 2.376 1.525 Os
2.376 0.000 1.525 Os
2.376 2.376 1.525 Ru
```

Calculated values
SG ... No. 123
VASP energy ... -6.348 eV per atom

Below is crystalline SrGa2Te at its relaxed geometry, with properties calculated at the GGA-PBE level.

```
SrGa2Te
1.0
4.537 0.000 0.000
0.000 4.587 0.000
-0.285 0.000 10.743
Sr Ga Te
2 4 2
Cartesian
1.021 1.147 3.026 Sr
3.230 3.440 7.717 Sr
0.633 3.440 10.692 Ga
1.128 1.147 9.452 Ga
3.124 3.440 1.291 Ga
3.618 1.147 0.051 Ga
0.938 1.147 6.750 Te
3.314 3.440 3.993 Te
```

Calculated values
SG ... No. 11
Energy relative to the elements, uncorrected ... -0.76 eV/atom

Below is crystalline Li2ScCd at its relaxed geometry, with properties calculated at the GGA-PBE level.

```
Li2ScCd
1.0
5.073 -1.625 0.000
5.073 1.625 0.000
-1.247 0.000 4.971
Li Sc Cd
2 1 1
Cartesian
2.127 0.000 1.126 Li
6.771 0.000 3.845 Li
-0.624 0.000 2.486 Sc
5.073 0.000 0.000 Cd
```

Calculated values
SG ... No. 12
VASP energy ... -2.840 eV per atom

Below is crystalline Ba3CrCl at its relaxed geometry, with properties calculated at the GGA-PBE level.

```
Ba3CrCl
1.0
5.862 0.000 0.000
0.000 5.862 0.000
0.000 0.000 5.862
Ba Cr Cl
3 1 1
Cartesian
0.000 0.000 2.931 Ba
0.000 2.931 0.000 Ba
2.931 0.000 0.000 Ba
0.000 0.000 0.000 Cr
2.931 2.931 2.931 Cl
```

Calculated values
SG ... No. 221
Energy relative to the elements, uncorrected ... 0.23 eV/atom

Below is crystalline TiW4Se8 at its relaxed geometry, with properties calculated at the GGA-PBE level.

```
TiW4Se8
1.0
3.316 1.915 7.149
-3.316 1.915 7.149
0.000 -3.829 7.149
Ti W Se
1 4 8
Cartesian
0.000 0.000 0.000 Ti
-3.316 0.000 10.723 W
-1.658 0.957 3.574 W
1.658 0.957 3.574 W
0.000 0.000 10.723 W
0.000 0.000 5.291 Se
-1.662 -0.959 12.469 Se
0.000 -1.919 8.977 Se
-1.662 0.959 8.977 Se
1.662 -0.959 12.469 Se
0.000 1.919 12.469 Se
1.662 0.959 8.977 Se
0.000 0.000 16.154 Se
```

Calculated values
SG ... No. 166
Energy relative to the elements, uncorrected ... -0.18 eV/atom

Below is crystalline Ca3Zn5Au6 at its relaxed geometry, with properties calculated at the GGA-PBE level.

```
Ca3Zn5Au6
1.0
4.501 0.000 0.000
0.000 13.552 0.000
0.000 0.000 9.207
Ca Zn Au
6 10 12
Cartesian
1.125 0.713 2.294 Ca
1.125 6.063 2.294 Ca
1.125 10.164 2.261 Ca
3.376 3.388 6.946 Ca
3.376 7.489 6.913 Ca
3.376 12.839 6.913 Ca
1.125 1.040 8.259 Zn
1.125 5.736 8.259 Zn
1.125 8.391 4.921 Zn
1.125 10.164 6.906 Zn
1.125 11.937 4.921 Zn
3.376 1.615 4.286 Zn
3.376 3.388 2.301 Zn
3.376 5.161 4.286 Zn
3.376 7.816 0.948 Zn
3.376 12.512 0.948 Zn
1.125 1.033 5.668 Au
1.125 3.388 0.474 Au
1.125 3.388 3.993 Au
1.125 5.743 5.668 Au
1.125 8.353 8.909 Au
1.125 11.975 8.909 Au
3.376 1.577 0.298 Au
3.376 5.199 0.298 Au
3.376 7.809 3.539 Au
3.376 10.164 5.214 Au
3.376 10.164 8.733 Au
3.376 12.519 3.539 Au
```

Calculated values
SG ... No. 59
VASP energy ... -2.811 eV per atom

Below is crystalline PrNpPt10 at its relaxed geometry, with properties calculated at the GGA-PBE level.

```
PrNpPt10
1.0
4.444 0.000 0.000
0.000 5.404 0.000
0.000 0.000 9.338
Pr Np Pt
1 1 10
Cartesian
0.000 0.000 0.000 Pr
0.000 2.702 4.669 Np
0.000 0.000 3.144 Pt
0.000 0.000 6.195 Pt
0.000 2.702 1.600 Pt
0.000 2.702 7.739 Pt
2.222 0.000 4.669 Pt
2.222 1.360 2.356 Pt
2.222 1.360 6.982 Pt
2.222 2.702 0.000 Pt
2.222 4.044 2.356 Pt
2.222 4.044 6.982 Pt
```

Calculated values
SG ... No. 47
VASP energy ... -7.082 eV per atom